First-principles (GGA-PBE) data for a relaxed structure of CoSb4Ir, as listed in Alexandria.

Cell: 5.943 5.943 5.943 Å, 60.00 60.00 60.00°
Positions (direct):
Co (0.000, 0.000, 0.000)
Sb (0.375, 0.375, 0.375)
Sb (0.375, 0.375, 0.876)
Sb (0.375, 0.876, 0.375)
Sb (0.876, 0.375, 0.375)
Ir (0.750, 0.750, 0.750)

Calculated values
E_form (uncorrected): 1.27 eV per atom
D(E_F): 1.409 states/eV/atom
ρ: 8.26 Mg/m³
Space-group type: F-43m (216)

First-principles (GGA-PBE) data for a relaxed structure of Pm2ErSe4, as listed in Alexandria.

Cell: 8.213 8.213 8.213 Å, 119.68 119.09 91.07°
Positions (direct):
Pm (0.000, 0.000, 0.000)
Pm (0.500, 0.000, 0.000)
Pm (0.500, 0.000, 0.500)
Pm (0.500, 0.500, 0.500)
Er (0.000, 0.000, 0.500)
Er (0.000, 0.500, 0.000)
Se (0.234, 0.742, 0.492)
Se (0.246, 0.247, 0.501)
Se (0.246, 0.745, 0.999)
Se (0.250, 0.258, 0.992)
Se (0.750, 0.742, 0.008)
Se (0.754, 0.255, 0.001)
Se (0.754, 0.753, 0.499)
Se (0.766, 0.258, 0.508)

Calculated values
E_form (uncorrected): -1.86 eV per atom
D(E_F): 0.293 states/eV/atom
ρ: 6.50 Mg/m³
Space-group type: Imma (74)

> Which value of D(E_F) does entry 2 give?

0.293 states/eV/atom

> Which of these has the highest D(E_F)?

CoSb4Ir

Please write out number 1 again, unchanged.
First-principles (GGA-PBE) data for a relaxed structure of CoSb4Ir, as listed in Alexandria.

Cell: 5.943 5.943 5.943 Å, 60.00 60.00 60.00°
Positions (direct):
Co (0.000, 0.000, 0.000)
Sb (0.375, 0.375, 0.375)
Sb (0.375, 0.375, 0.876)
Sb (0.375, 0.876, 0.375)
Sb (0.876, 0.375, 0.375)
Ir (0.750, 0.750, 0.750)

Calculated values
E_form (uncorrected): 1.27 eV per atom
D(E_F): 1.409 states/eV/atom
ρ: 8.26 Mg/m³
Space-group type: F-43m (216)